Entry 1:
7
Lattice="2.531 1.462 8.598 -2.531 1.462 8.598 0.000 -2.923 8.598" Properties=species:S:1:pos:R:3 comment="HoEr2Hg4 PBE-GGA optimized geometry" formation_enthalpy_0k_mev_per_atom=-332 space_group="R-3m, No. 166" pbc="T T T"
Ho 0.000 0.000 0.000
Er 0.000 0.000 6.316
Er 0.000 0.000 19.479
Hg 0.000 0.000 3.269
Hg 0.000 0.000 9.696
Hg 0.000 0.000 16.099
Hg 0.000 0.000 22.525

---

Entry 2:
7
Lattice="-2.788 2.788 7.623 2.788 -2.788 7.623 2.788 2.788 -7.623" Properties=species:S:1:pos:R:3 comment="Ho2ErHg4 PBE-GGA optimized geometry" formation_enthalpy_0k_mev_per_atom=41 space_group="I4/mmm, No. 139" pbc="T T T"
Ho 0.000 0.000 1.564
Ho 0.000 0.000 13.682
Er 0.000 0.000 7.623
Hg 2.788 0.000 0.000
Hg 0.000 0.000 4.597
Hg 0.000 2.788 0.000
Hg 0.000 0.000 10.649

---

Entry 3:
6
Lattice="5.204 0.000 0.000 -2.602 4.506 0.000 0.000 0.000 6.873" Properties=species:S:1:pos:R:3 comment="HoErHg PBE-GGA optimized geometry" formation_enthalpy_0k_mev_per_atom=-312 space_group="P6_3/mmc, No. 194" pbc="T T T"
Ho 0.000 0.000 0.000
Ho 0.000 0.000 3.436
Er 0.000 3.004 1.718
Er 2.602 1.502 5.154
Hg 0.000 3.004 5.154
Hg 2.602 1.502 1.718